The following is a DFT calculation (PBE-GGA) of a geometry-optimized Dy3NbO7 structure.

```
Dy3NbO7
1.0
5.365 0.000 0.000
0.272 7.629 0.000
0.299 3.745 7.350
Dy Nb O
6 2 14
Cartesian
0.000 0.000 0.000 Dy
0.136 3.814 0.000 Dy
2.617 1.973 1.819 Dy
2.774 5.621 1.781 Dy
3.161 5.752 5.568 Dy
3.318 9.401 5.530 Dy
0.227 3.944 3.523 Nb
5.708 7.430 3.827 Nb
1.472 7.620 2.169 O
1.494 5.394 3.928 O
1.450 2.564 4.028 O
1.460 3.861 1.772 O
1.680 5.522 7.181 O
1.717 7.650 5.211 O
1.905 9.604 7.181 O
4.030 1.769 0.169 O
4.218 3.724 2.139 O
4.255 5.852 0.169 O
4.475 7.512 5.577 O
4.485 8.810 3.322 O
4.441 5.979 3.421 O
4.463 3.754 5.181 O
```

Output
V (Å³ per atom): 13.7
Formation energy (no corrections) (eV/atom): -3.280
Energy above the most stable polymorph in this dataset (eV per formula unit): 0.40
Energy (eV/atom): -8.61
Space-group type: No. 2